Entry 1:
A plane-wave DFT calculation with PBE was carried out for a relaxed LaInHgPt crystal.

Cell lengths 5.120, 5.120, 5.120 Å; angles 60.00, 60.00, 60.00 degrees
Element x y z (fractional)
Hg1 0.250 0.250 0.250
Pt1 0.750 0.750 0.750
La1 0.000 0.000 0.000
In1 0.500 0.500 0.500

calculated formation energy: -0.63 eV per atom
magnetic moment: 0.00 Bohr magnetons per cell
final energy: -16.5 eV for the cell shown

Entry 2:
A plane-wave DFT calculation with PBE was carried out for a relaxed LaY2Ta2 crystal.

Cell lengths 8.769, 8.769, 3.521 Å; angles 90.00, 90.00, 90.00 degrees
Element x y z (fractional)
Ta1 0.104 0.396 0.000
Ta2 0.896 0.604 0.000
Ta3 0.604 0.104 0.000
Ta4 0.396 0.896 0.000
Y1 0.184 0.684 0.500
Y2 0.816 0.316 0.500
Y3 0.316 0.184 0.500
Y4 0.684 0.816 0.500
La1 0.500 0.500 0.000
La2 0.000 0.000 0.000

calculated formation energy: 0.43 eV per atom
magnetic moment: 0.00 Bohr magnetons per cell
final energy: -78.8 eV for the cell shown
energy above the lowest structure with this stoichiometry: 0 meV/atom

Entry 3:
A plane-wave DFT calculation with PBE was carried out for a relaxed PuNiRu crystal.

Cell lengths 4.489, 4.489, 6.624 Å; angles 70.19, 70.19, 60.00 degrees
Last column: magnetic moment on the atom in μB.
Element x y z (fractional)
Ni1 0.209 0.209 0.374  -0.46
Ni2 0.791 0.791 0.626  -0.46
Ru1 0.927 0.927 0.218  -0.68
Ru2 0.073 0.073 0.782  -0.68
Pu1 0.400 0.400 0.799  4.83
Pu2 0.600 0.600 0.201  4.83

calculated formation energy: 0.10 eV per atom
magnetic moment: 7.71 Bohr magnetons per cell
final energy: -58.2 eV for the cell shown
energy above the lowest structure with this stoichiometry: 322 meV/atom

Entry 4:
A plane-wave DFT calculation with PBE was carried out for a relaxed La3LuCl crystal.

Cell lengths 5.551, 5.551, 5.551 Å; angles 90.00, 90.00, 90.00 degrees
Element x y z (fractional)
La1 0.000 0.000 0.500
La2 0.000 0.500 0.000
La3 0.500 0.000 0.000
Cl1 0.000 0.000 0.000
Lu1 0.500 0.500 0.500

raw formation energy: -0.524 eV/atom
magnetic moment: 0.00 Bohr magnetons per cell
final energy: -23.8 eV for the cell shown

Entry 5:
A plane-wave DFT calculation with PBE was carried out for a relaxed LiNbTeN2 crystal.

Cell lengths 4.041, 4.041, 5.853 Å; angles 90.00, 90.00, 90.00 degrees
Last column: magnetic moment on the atom in μB.
Element x y z (fractional)
N1 0.000 0.500 0.000  0.28
N2 0.500 0.000 0.000  0.28
Te1 0.000 0.000 0.500  0.06
Nb1 0.000 0.000 0.000  -0.10
Li1 0.500 0.500 0.500  0.00

raw formation energy: 0.086 eV/atom
magnetic moment: 0.78 Bohr magnetons per cell
final energy: -31.3 eV for the cell shown
energy above the lowest structure with this stoichiometry: 0 meV/atom

Entry 6:
A plane-wave DFT calculation with PBE was carried out for a relaxed ScCd2Fe2 crystal.

Cell lengths 6.808, 6.808, 3.825 Å; angles 90.00, 90.00, 90.00 degrees
Last column: magnetic moment on the atom in μB.
Element x y z (fractional)
Sc1 0.000 0.000 0.000  -0.40
Sc2 0.500 0.500 0.000  -0.40
Fe1 0.119 0.381 0.000  2.17
Fe2 0.881 0.619 0.000  2.17
Fe3 0.619 0.119 0.000  2.19
Fe4 0.381 0.881 0.000  2.18
Cd1 0.174 0.674 0.500  -0.05
Cd2 0.326 0.174 0.500  -0.05
Cd3 0.826 0.326 0.500  -0.05
Cd4 0.674 0.826 0.500  -0.05

calculated formation energy: 0.23 eV per atom
magnetic moment: 7.37 Bohr magnetons per cell
final energy: -47.9 eV for the cell shown

Entry 7:
A plane-wave DFT calculation with PBE was carried out for a relaxed PmNd2Zn2Si2 crystal.

Cell lengths 4.127, 4.127, 11.834 Å; angles 79.96, 79.96, 60.00 degrees
Last column: magnetic moment on the atom in μB.
Element x y z (fractional)
Si1 0.728 0.728 0.817  0.00
Si2 0.272 0.272 0.183  0.00
Nd1 0.121 0.121 0.637  0.11
Nd2 0.879 0.879 0.363  0.11
Zn1 0.394 0.394 0.818  0.01
Zn2 0.606 0.606 0.182  0.01
Pm1 0.000 0.000 0.000  0.01

raw formation energy: -0.479 eV/atom
magnetic moment: 0.73 Bohr magnetons per cell
final energy: -31.0 eV for the cell shown

Entry 8:
A plane-wave DFT calculation with PBE was carried out for a relaxed Ac3CuAs2Pd9 crystal.

Cell lengths 6.003, 6.003, 10.637 Å; angles 90.00, 90.00, 120.00 degrees
Element x y z (fractional)
Pd1 0.842 0.158 0.683
Pd2 0.500 0.000 0.000
Pd3 0.683 0.842 0.317
Pd4 0.842 0.683 0.683
Pd5 0.158 0.317 0.317
Pd6 0.000 0.500 0.000
Pd7 0.158 0.842 0.317
Pd8 0.500 0.500 0.000
Pd9 0.317 0.158 0.683
As1 0.333 0.667 0.164
As2 0.667 0.333 0.836
Ac1 0.333 0.667 0.609
Ac2 0.667 0.333 0.391
Ac3 0.000 0.000 0.000
Cu1 0.000 0.000 0.500

calculated formation energy: -0.60 eV per atom
magnetic moment: 0.00 Bohr magnetons per cell
final energy: -81.5 eV for the cell shown

- Which value of magnetic moment does entry 8 give?
  0.00 Bohr magnetons per cell